# 1
Computed, not measured: crystalline CoTc2Cl at its relaxed geometry at the PBE level of DFT.

Geometry as POSCAR:
```
CoTc2Cl
1.0
-0.275 -3.158 0.894
2.632 -0.510 -0.992
2.490 1.442 5.860
Co Tc Cl
1 2 1
Cartesian
3.704 -0.880 4.098
2.993 1.226 5.250
2.057 0.683 3.045
1.143 -1.346 1.664
```

# 2
Computed, not measured: crystalline CoTc2Cl at its relaxed geometry at the PBE level of DFT.

Geometry as POSCAR:
```
CoTc2Cl
1.0
-0.662 -1.759 2.165
1.489 -2.105 -1.254
5.745 2.033 3.407
Co Tc Cl
1 2 1
Cartesian
4.733 -0.403 3.017
0.017 0.006 0.010
1.782 -1.448 1.267
2.912 1.030 1.727
```

# 3
Computed, not measured: crystalline CoTc2Cl at its relaxed geometry at the PBE level of DFT.

Geometry as POSCAR:
```
CoTc2Cl
1.0
-6.165 1.026 -5.502
-6.392 -1.729 -5.048
-7.638 0.084 -3.313
Co Tc Cl
1 2 1
Cartesian
-15.145 -0.465 -10.397
-0.033 -0.001 -0.022
-10.064 -0.309 -6.909
-5.048 -0.155 -3.466
```

# 4
Computed, not measured: crystalline CoTc2Cl at its relaxed geometry at the PBE level of DFT.

Geometry as POSCAR:
```
CoTc2Cl
1.0
-1.907 -0.908 1.808
1.362 -1.847 -1.570
6.038 -0.673 6.032
Co Tc Cl
1 2 1
Cartesian
4.256 -1.882 4.643
6.004 -0.670 5.999
3.052 -0.340 3.049
1.237 -1.545 1.627
```

# 5
Computed, not measured: crystalline CoTc2Cl at its relaxed geometry at the PBE level of DFT.

Geometry as POSCAR:
```
CoTc2Cl
1.0
5.166 -0.052 0.024
2.548 4.494 -0.024
-3.335 -3.128 2.405
Co Tc Cl
1 2 1
Cartesian
1.535 1.794 1.191
7.538 4.340 0.000
4.034 2.323 0.000
2.844 -0.479 1.215
```

# 6
Computed, not measured: crystalline CoTc2Cl at its relaxed geometry at the PBE level of DFT.

Geometry as POSCAR:
```
CoTc2Cl
1.0
-2.078 -1.649 -2.791
-2.033 -0.618 1.879
-3.266 4.164 -0.028
Co Tc Cl
1 2 1
Cartesian
-4.895 1.894 -0.130
-3.342 4.026 0.111
-2.727 -0.089 -0.573
-2.329 2.004 0.551
```

Computed values of ΔE_f (raw) (unit: meV per atom) for the preceding records, in sequence: 376 383 458 667 719 506.